Entry 1:
CoAgTeI2: relaxed, PBE.

```
CoAgTeI2
1.0
5.5794 0.0000 0.0000
0.0000 5.5794 0.0000
0.0000 0.0000 5.5807
I Te Co Ag
2 1 1 1
Direct
0.0000 0.5000 0.0000
0.5000 0.0000 0.0000
0.0000 0.0000 0.5000
0.5000 0.5000 0.5000
0.0000 0.0000 0.0000
```

Values from the calculation:
- energy relative to the elements, uncorrected (eV/atom) = 0.985
- crystal system = tetragonal

---

Entry 2:
CoAgTe2I: relaxed, PBE.

```
CoAgTe2I
1.0
5.4534 0.0000 0.0000
0.0000 5.4534 0.0000
0.0000 0.0000 5.5877
I Te Co Ag
1 2 1 1
Direct
0.0000 0.0000 0.5000
0.0000 0.5000 0.0000
0.5000 0.0000 0.0000
0.5000 0.5000 0.5000
0.0000 0.0000 0.0000
```

Values from the calculation:
- energy relative to the elements, uncorrected (eV/atom) = 1.057
- crystal system = tetragonal

---

Summary of E above lowest polymorph in eV per atom
0.579; 0.615
(order as listed above)